The following is a PBE calculation of a relaxed structure of BaIn4Sn, from the Alexandria database.

```
BaIn4Sn
1.0
5.533 0.000 0.000
0.000 7.707 0.000
-2.766 0.000 9.158
In Sn Ba
8 2 2
Direct
0.000 0.500 0.000 In
0.757 0.933 0.513 In
0.243 0.067 0.487 In
0.000 0.000 0.000 In
0.419 0.250 0.838 In
0.243 0.433 0.487 In
0.581 0.750 0.162 In
0.757 0.567 0.513 In
0.146 0.750 0.293 Sn
0.854 0.250 0.707 Sn
0.612 0.250 0.223 Ba
0.388 0.750 0.777 Ba
```

Output
M_tot = 0.0000 μB per atom
VASP energy = -2.940 eV/atom
E above lowest polymorph = 0.0347 eV per atom
formation energy = -127 meV/atom